(1)
Computed, not measured: GdPaFeNi after structural relaxation at the PBE level of DFT.

Formation energy from the elements = -0.04 eV per atom
SG = F-43m, No. 216
Total DFT energy (no corrections) = -37.964 eV per cell
Mass density = 11.04 Mg/m³
Total magnetic moment = 1.64 μB per atom

Lattice parameters (Å, degrees): 4.7470 4.7470 4.7470 60.00 60.00 60.00
With the nearest neighbours (Å) after each atom.
Fractional positions:
Gd1 0.0000 0.0000 0.0000  4 Fe 2.91, 4 Ni 2.91
Pa1 0.5000 0.5000 0.5000  4 Fe 2.91, 4 Ni 2.91
Ni1 0.2500 0.2500 0.2500  4 Pa 2.91, 4 Gd 2.91
Fe1 0.7500 0.7500 0.7500  4 Gd 2.91, 4 Pa 2.91

---

(2)
Computed, not measured: GdPuFeNi after structural relaxation at the PBE level of DFT.

Formation energy from the elements = 0.04 eV per atom
SG = F-43m, No. 216
Total DFT energy (no corrections) = -42.512 eV per cell
Mass density = 11.27 Mg/m³
Total magnetic moment = 0.82 μB per atom

Lattice parameters (Å, degrees): 4.7547 4.7547 4.7547 60.00 60.00 60.00
With the nearest neighbours (Å) after each atom.
Fractional positions:
Ni1 0.2500 0.2500 0.2500  4 Gd 2.91, 4 Pu 2.91
Fe1 0.7500 0.7500 0.7500  4 Gd 2.91, 4 Pu 2.91
Gd1 0.5000 0.5000 0.5000  4 Ni 2.91, 4 Fe 2.91
Pu1 0.0000 0.0000 0.0000  4 Fe 2.91, 4 Ni 2.91

---

(3)
Computed, not measured: GdScFeNi after structural relaxation at the PBE level of DFT.

Formation energy from the elements = -0.12 eV per atom
SG = F-43m, No. 216
Total DFT energy (no corrections) = -35.153 eV per cell
Mass density = 7.53 Mg/m³
Total magnetic moment = 1.62 μB per atom

Lattice parameters (Å, degrees): 4.6237 4.6237 4.6237 60.00 60.00 60.00
With the nearest neighbours (Å) after each atom.
Fractional positions:
Sc1 0.2500 0.2500 0.2500  4 Fe 2.83, 4 Ni 2.83
Gd1 0.7500 0.7500 0.7500  4 Ni 2.83, 4 Fe 2.83
Fe1 0.0000 0.0000 0.0000  4 Gd 2.83, 4 Sc 2.83
Ni1 0.5000 0.5000 0.5000  4 Gd 2.83, 4 Sc 2.83

---

(4)
Computed, not measured: GdTmFeNi after structural relaxation at the PBE level of DFT.

Formation energy from the elements = -0.10 eV per atom
SG = F-43m, No. 216
Total DFT energy (no corrections) = -33.185 eV per cell
Mass density = 9.74 Mg/m³
Total magnetic moment = 1.59 μB per atom

Lattice parameters (Å, degrees): 4.7357 4.7357 4.7357 60.00 60.00 60.00
With the nearest neighbours (Å) after each atom.
Fractional positions:
Fe1 0.2500 0.2500 0.2500  4 Gd 2.90, 4 Tm 2.90
Ni1 0.7500 0.7500 0.7500  4 Gd 2.90, 4 Tm 2.90
Gd1 0.5000 0.5000 0.5000  4 Fe 2.90, 4 Ni 2.90
Tm1 0.0000 0.0000 0.0000  4 Fe 2.90, 4 Ni 2.90

---

(5)
Computed, not measured: GdTmFe2Ni8 after structural relaxation at the PBE level of DFT.

Formation energy from the elements = -0.25 eV per atom
SG = Pmm2, No. 25
Total DFT energy (no corrections) = -84.744 eV per cell
Mass density = 9.06 Mg/m³
Total magnetic moment = 0.09 μB per atom

Lattice parameters (Å, degrees): 3.9349 4.9392 8.5546 90.00 90.00 90.00
With the nearest neighbours (Å) after each atom.
Fractional positions:
Gd1 0.0000 0.5000 0.0001  3 Fe 2.86, 15 Ni 2.86-3.18
Ni1 0.5000 0.0000 0.0005  6 Ni 2.44-2.49, 2 Fe 2.44
Ni2 0.5000 0.2488 0.7471  2 Fe 2.43, 6 Ni 2.43-2.49
Ni3 0.5000 0.7526 0.2525  6 Ni 2.42-2.50, 2 Fe 2.43
Fe1 0.0000 0.5000 0.3348  6 Ni 2.42-2.43
Fe2 0.0000 0.0000 0.8315  6 Ni 2.43-2.44
Ni4 0.0000 0.5000 0.6644  6 Ni 2.42-2.43
Ni5 0.5000 0.5000 0.5004  6 Ni 2.42-2.46, 2 Fe 2.42
Tm1 0.0000 0.0000 0.4999  15 Ni 2.83-3.16, 3 Fe 2.84
Ni6 0.0000 0.0000 0.1693  6 Ni 2.42-2.44
Ni7 0.5000 0.7512 0.7471  2 Fe 2.43, 6 Ni 2.43-2.49
Ni8 0.5000 0.2474 0.2525  6 Ni 2.42-2.50, 2 Fe 2.43

---

(6)
Computed, not measured: GdNpFe4 after structural relaxation at the PBE level of DFT.

Formation energy from the elements = 0.02 eV per atom
SG = F-43m, No. 216
Total DFT energy (no corrections) = -60.728 eV per cell
Mass density = 10.93 Mg/m³
Total magnetic moment = 0.59 μB per atom

Lattice parameters (Å, degrees): 5.1013 5.1013 5.1013 60.00 60.00 60.00
With the nearest neighbours (Å) after each atom.
Fractional positions:
Fe1 0.1260 0.6247 0.6247  6 Fe 2.54-2.56
Fe2 0.6247 0.1260 0.6247  6 Fe 2.54-2.56
Np1 0.2500 0.2500 0.2500  12 Fe 2.99, 4 Gd 3.12
Fe3 0.6247 0.6247 0.6247  6 Fe 2.54-2.56
Fe4 0.6247 0.6247 0.1260  6 Fe 2.54-2.56
Gd1 0.0000 0.0000 0.0000  12 Fe 2.99, 4 Np 3.12

---

The highest total magnetic moment belongs to which entry?
GdPaFeNi